# 1
# meta-GGA SCAN AlOs, PBEsol geometry
# E: -2.972 Ry per atom
# Calculated formation energy: -0.6198 eV/atom
# Spin magnetization: 0.00 μB/cell
# DOS at the Fermi energy: 1.33 states/eV per cell
data_AlOs
_symmetry_space_group_name_H-M 'P m -3 m'
_symmetry_Int_Tables_number 221
_symmetry_space_group_name_Hall '-P 4 2 3'
_cell_length_a 2.9917
_cell_length_b 2.9917
_cell_length_c 2.9917
_cell_angle_alpha 90.00
_cell_angle_beta 90.00
_cell_angle_gamma 90.00
loop_
_atom_site_label
_atom_site_type_symbol
_atom_site_fract_x
_atom_site_fract_y
_atom_site_fract_z
Al1 Al 0.0000 0.0000 0.0000
Os1 Os 0.5000 0.5000 0.5000

# 2
# meta-GGA SCAN LaTm3S6, PBEsol geometry
# E: -2.062 Ry per atom
# Spin magnetization: 0.00 μB/cell
# Formation energy from raw total energies: -2.42 eV/atom
data_LaTm3S6
_symmetry_space_group_name_H-M 'P 1 21/m 1'
_symmetry_Int_Tables_number 11
_cell_length_a 10.8546
_cell_length_b 3.9196
_cell_length_c 11.1468
_cell_angle_alpha 90.00
_cell_angle_beta 108.98
_cell_angle_gamma 90.00
loop_
_symmetry_equiv_pos_as_xyz
'x,y,z'
'-x,-y,-z'
'-x,y+1/2,-z'
'x,-y+1/2,z'
loop_
_atom_site_label
_atom_site_type_symbol
_atom_site_fract_x
_atom_site_fract_y
_atom_site_fract_z
La1 La 0.0523 0.2500 0.1967
Tm1 Tm 0.1601 0.2500 0.5879
Tm2 Tm 0.3215 0.7500 0.9996
Tm3 Tm 0.4467 0.2500 0.3337
S1 S 0.0838 0.7500 0.4085
S2 S 0.1230 0.2500 0.9638
S3 S 0.1986 0.7500 0.7491
S4 S 0.2709 0.7500 0.2304
S5 S 0.3911 0.2500 0.5543
S6 S 0.4810 0.2500 0.1121

# 3
# meta-GGA SCAN CrNi3O, PBEsol geometry
# E: -0.947 Ry per atom
# Spin magnetization: 2.94 μB/cell
# Formation energy from raw total energies: 1.75 eV/atom
# DOS at the Fermi energy: 4.52 states/eV per cell
data_CrNi3O
_symmetry_space_group_name_H-M 'P m -3 m'
_symmetry_Int_Tables_number 221
_symmetry_space_group_name_Hall '-P 4 2 3'
_cell_length_a 4.1248
_cell_length_b 4.1248
_cell_length_c 4.1248
_cell_angle_alpha 90.00
_cell_angle_beta 90.00
_cell_angle_gamma 90.00
loop_
_atom_site_label
_atom_site_type_symbol
_atom_site_fract_x
_atom_site_fract_y
_atom_site_fract_z
Cr1 Cr 0.0000 0.0000 0.0000
Ni1 Ni 0.0000 0.0000 0.5000
O1 O 0.5000 0.5000 0.5000

# 4
# meta-GGA SCAN BaCuPb2, PBEsol geometry
# E: -3.791 Ry per atom
# Calculated formation energy: -0.0068 eV/atom
# Spin magnetization: 0.00 μB/cell
# DOS at the Fermi energy: 6.71 states/eV per cell
data_BaCuPb2
_symmetry_space_group_name_H-M 'F m -3 m'
_symmetry_Int_Tables_number 225
_symmetry_space_group_name_Hall '-F 4 2 3'
_cell_length_a 7.6435
_cell_length_b 7.6435
_cell_length_c 7.6435
_cell_angle_alpha 90.00
_cell_angle_beta 90.00
_cell_angle_gamma 90.00
loop_
_atom_site_label
_atom_site_type_symbol
_atom_site_fract_x
_atom_site_fract_y
_atom_site_fract_z
Ba1 Ba 0.0000 0.0000 0.0000
Cu1 Cu 0.0000 0.0000 0.5000
Pb1 Pb 0.2500 0.2500 0.2500

# 5
# meta-GGA SCAN Nb2ReAsBr, PBEsol geometry
# E: -2.538 Ry per atom
# Spin magnetization: 1.68 μB/cell
# Formation energy from raw total energies: 0.86 eV/atom
# DOS at the Fermi energy: 2.98 states/eV per cell
data_Nb2ReAsBr
_symmetry_space_group_name_H-M 'P 4/m m m'
_symmetry_Int_Tables_number 123
_symmetry_space_group_name_Hall '-P 4 2'
_cell_length_a 4.9702
_cell_length_b 4.9702
_cell_length_c 4.6009
_cell_angle_alpha 90.00
_cell_angle_beta 90.00
_cell_angle_gamma 90.00
loop_
_atom_site_label
_atom_site_type_symbol
_atom_site_fract_x
_atom_site_fract_y
_atom_site_fract_z
Nb1 Nb 0.0000 0.5000 0.0000
Re1 Re 0.0000 0.0000 0.0000
As1 As 0.0000 0.0000 0.5000
Br1 Br 0.5000 0.5000 0.5000

# 6
# meta-GGA SCAN CdAg4, PBEsol geometry
# E: -2.294 Ry per atom
# Offset from the most stable computed form: 10.5 meV per atom
# Calculated formation energy: -0.0291 eV/atom
# Spin magnetization: 0.00 μB/cell
# DOS at the Fermi energy: 2.41 states/eV per cell
data_CdAg4
_symmetry_space_group_name_H-M 'I m m m'
_symmetry_Int_Tables_number 71
_symmetry_space_group_name_Hall '-I 2 2'
_cell_length_a 2.9316
_cell_length_b 4.0192
_cell_length_c 14.4907
_cell_angle_alpha 90.00
_cell_angle_beta 90.00
_cell_angle_gamma 90.00
loop_
_atom_site_label
_atom_site_type_symbol
_atom_site_fract_x
_atom_site_fract_y
_atom_site_fract_z
Cd1 Cd 0.0000 0.0000 0.0000
Ag1 Ag 0.0000 0.0000 0.2012
Ag2 Ag 0.0000 0.0000 0.3979

# 7
# meta-GGA SCAN ZrBe2Rh2, PBEsol geometry
# E: -1.627 Ry per atom
# Calculated formation energy: -0.7426 eV/atom
# Spin magnetization: 0.00 μB/cell
# DOS at the Fermi energy: 4.62 states/eV per cell
data_ZrBe2Rh2
_symmetry_space_group_name_H-M 'P 4/m b m'
_symmetry_Int_Tables_number 127
_symmetry_space_group_name_Hall '-P 4 2ab'
_cell_length_a 6.6729
_cell_length_b 6.6729
_cell_length_c 2.8205
_cell_angle_alpha 90.00
_cell_angle_beta 90.00
_cell_angle_gamma 90.00
loop_
_atom_site_label
_atom_site_type_symbol
_atom_site_fract_x
_atom_site_fract_y
_atom_site_fract_z
Zr1 Zr 0.0000 0.0000 0.0000
Be1 Be 0.1161 0.3839 0.0000
Rh1 Rh 0.1702 0.6702 0.5000

# 8
# meta-GGA SCAN BaCoAu2, PBEsol geometry
# E: -3.592 Ry per atom
# Offset from the most stable computed form: 329.8 meV per atom
# Calculated formation energy: -0.0850 eV/atom
# Spin magnetization: 3.14 μB/cell
# DOS at the Fermi energy: 3.88 states/eV per cell
data_BaCoAu2
_symmetry_space_group_name_H-M 'C m m m'
_symmetry_Int_Tables_number 65
_symmetry_space_group_name_Hall '-C 2 2'
_cell_length_a 5.3491
_cell_length_b 8.0264
_cell_length_c 4.1959
_cell_angle_alpha 90.00
_cell_angle_beta 90.00
_cell_angle_gamma 90.00
loop_
_atom_site_label
_atom_site_type_symbol
_atom_site_fract_x
_atom_site_fract_y
_atom_site_fract_z
Ba1 Ba 0.0000 0.0000 0.0000
Co1 Co 0.0000 0.5000 0.0000
Au1 Au 0.0000 0.3256 0.5000

# 9
# meta-GGA SCAN LaZr2TlI, PBEsol geometry
# E: -3.100 Ry per atom
# Spin magnetization: 0.00 μB/cell
# Formation energy from raw total energies: 0.55 eV/atom
# DOS at the Fermi energy: 5.21 states/eV per cell
data_LaZr2TlI
_symmetry_space_group_name_H-M 'P 4/m m m'
_symmetry_Int_Tables_number 123
_symmetry_space_group_name_Hall '-P 4 2'
_cell_length_a 5.2263
_cell_length_b 5.2263
_cell_length_c 5.9030
_cell_angle_alpha 90.00
_cell_angle_beta 90.00
_cell_angle_gamma 90.00
loop_
_atom_site_label
_atom_site_type_symbol
_atom_site_fract_x
_atom_site_fract_y
_atom_site_fract_z
La1 La 0.0000 0.0000 0.0000
Zr1 Zr 0.0000 0.5000 0.5000
Tl1 Tl 0.5000 0.5000 0.0000
I1 I 0.5000 0.5000 0.5000

# 10
# meta-GGA SCAN IrRu5, PBEsol geometry
# E: -3.008 Ry per atom
# Offset from the most stable computed form: 4.9 meV per atom
# Calculated formation energy: -0.0475 eV/atom
# Spin magnetization: 0.00 μB/cell
# DOS at the Fermi energy: 7.54 states/eV per cell
data_IrRu5
_symmetry_space_group_name_H-M 'A m m 2'
_symmetry_Int_Tables_number 38
_cell_length_a 4.2591
_cell_length_b 2.6937
_cell_length_c 13.9992
_cell_angle_alpha 90.00
_cell_angle_beta 90.00
_cell_angle_gamma 90.00
loop_
_symmetry_equiv_pos_as_xyz
'x,y,z'
'-x,-y,z'
'-x,y,z'
'x,-y,z'
'x,y+1/2,z+1/2'
'-x,-y+1/2,z+1/2'
'-x,y+1/2,z+1/2'
'x,-y+1/2,z+1/2'
loop_
_atom_site_label
_atom_site_type_symbol
_atom_site_fract_x
_atom_site_fract_y
_atom_site_fract_z
Ir1 Ir 0.0000 0.0000 0.0000
Ru1 Ru 0.0000 0.0000 0.3316
Ru2 Ru 0.0000 0.0000 0.6677
Ru3 Ru 0.5000 0.0000 0.2225
Ru4 Ru 0.5000 0.0000 0.5560
Ru5 Ru 0.5000 0.0000 0.8875

# 11
# meta-GGA SCAN CaZnFe, PBEsol geometry
# E: -0.971 Ry per atom
# Calculated formation energy: 0.5515 eV/atom
# Spin magnetization: 2.36 μB/cell
# DOS at the Fermi energy: 1.85 states/eV per cell
data_CaZnFe
_symmetry_space_group_name_H-M 'P 3 m 1'
_symmetry_Int_Tables_number 156
_cell_length_a 3.0775
_cell_length_b 3.0775
_cell_length_c 6.6413
_cell_angle_alpha 90.00
_cell_angle_beta 90.00
_cell_angle_gamma 120.00
loop_
_symmetry_equiv_pos_as_xyz
'x,y,z'
'-y,x-y,z'
'-x+y,-x,z'
'-y,-x,z'
'-x+y,y,z'
'x,x-y,z'
loop_
_atom_site_label
_atom_site_type_symbol
_atom_site_fract_x
_atom_site_fract_y
_atom_site_fract_z
Ca1 Ca 0.0000 0.0000 0.0000
Zn1 Zn 0.3333 0.6667 0.3817
Fe1 Fe 0.6667 0.3333 0.6555

# 12
# meta-GGA SCAN CaAl3Ir, PBEsol geometry
# E: -1.366 Ry per atom
# Calculated formation energy: 2.2119 eV/atom
# Spin magnetization: 0.00 μB/cell
# DOS at the Fermi energy: 4.73 states/eV per cell
data_CaAl3Ir
_symmetry_space_group_name_H-M 'P m -3 m'
_symmetry_Int_Tables_number 221
_symmetry_space_group_name_Hall '-P 4 2 3'
_cell_length_a 4.9508
_cell_length_b 4.9508
_cell_length_c 4.9508
_cell_angle_alpha 90.00
_cell_angle_beta 90.00
_cell_angle_gamma 90.00
loop_
_atom_site_label
_atom_site_type_symbol
_atom_site_fract_x
_atom_site_fract_y
_atom_site_fract_z
Ca1 Ca 0.0000 0.0000 0.0000
Al1 Al 0.0000 0.0000 0.5000
Ir1 Ir 0.5000 0.5000 0.5000